# 1
The following is a DFT calculation (GGA-PBE) of LiCu5Sn2 after structural relaxation.

a b c (Å): 4.3567 4.3567 6.1651
angles (deg): 90.00 90.00 90.00
Closest atoms and distances in Å follow each position.
Space group P4/mmm (No. 123)
Symmetry-distinct sites (fractional):
Li  0.0000  0.0000  0.0000 x1  8 Cu 2.67
Cu  0.0000  0.5000  0.2505 x4  4 Sn 2.67, 2 Cu 2.67, 2 Li 2.67
Cu  0.5000  0.5000  0.5000 x1  8 Cu 2.67
Sn  0.0000  0.0000  0.5000 x1  8 Cu 2.67
Sn  0.5000  0.5000  0.0000 x1  8 Cu 2.67

Summary:
* total energy: -3.6169 eV per atom

***

# 2
The following is a DFT calculation (GGA-PBE) of NbInFeTc after structural relaxation.

a b c (Å): 6.2689 6.2689 6.2689
angles (deg): 90.00 90.00 90.00
Closest atoms and distances in Å follow each position.
Space group F-43m (No. 216)
Symmetry-distinct sites (fractional):
Nb  0.0000  0.0000  0.0000 x4  4 Fe 2.71, 4 Tc 2.71
In  0.0000  0.0000  0.5000 x4  4 Fe 2.71, 4 Tc 2.71
Fe  0.2500  0.2500  0.7500 x4  4 Nb 2.71, 4 In 2.71
Tc  0.2500  0.2500  0.2500 x4  4 In 2.71, 4 Nb 2.71

Summary:
* total energy: -7.8033 eV per atom
* total magnetization: 0.9 μB/f.u.

***

# 3
The following is a DFT calculation (GGA-PBE) of Er2Al3Ga3 after structural relaxation.

a b c (Å): 6.2438 6.2438 4.5295
angles (deg): 90.00 90.00 120.00
Closest atoms and distances in Å follow each position.
Space group P-6m2 (No. 187)
Symmetry-distinct sites (fractional):
Er  0.0000  0.0000  0.0000 x1  6 Al 3.03, 6 Ga 3.13
Er  0.3333  0.6667  0.5000 x1  6 Ga 3.02, 6 Al 3.13
Al  0.3721  0.1860  0.5000 x3  2 Al 2.76, 4 Ga 2.77, 2 Er 3.03
Ga  0.5182  0.0364  0.0000 x3  4 Al 2.77, 2 Ga 2.78, 2 Er 3.02

Summary:
* total energy: -4.1479 eV per atom
* total magnetization: 0.0 μB/f.u.

***

- Which of these has the highest total energy?
  LiCu5Sn2